This record from the Alexandria database describes a geometry-optimized VTc2O structure. The functional is GGA+U.

Summary:
N(E_F): 3.67 states/eV/f.u.
magnetic moment: 1.55 μB/f.u.
distance to the lowest polymorph of the same formula: 0 meV/atom
DFT total energy: -8.0867 eV per atom
calculated density: 8.13 g cm⁻³

a b c (Å): 7.0537 7.0537 5.4353
angles (deg): 49.54 49.54 90.00
Each line ends with the local moment (μB).
Fractional coordinates of all 8 atoms:
Tc: 0.8750 0.7761 0.7500  -0.35
Tc: 0.3750 0.4739 0.7500  -0.35
Tc: 0.2239 0.6250 0.2500  -0.35
Tc: 0.5261 0.1250 0.2500  -0.35
O: 0.5000 0.5000 0.0000  0.01
O: 0.2500 0.7500 0.5000  0.01
V: 0.7500 0.2500 0.5000  2.08
V: 0.0000 0.0000 0.0000  2.08